No. 1
A relaxed structure of CuSb2Cl. Source: Alexandria via LeMat-Bulk, functional GGA-PBE.

```
CuSb2Cl
1.0
4.241 0.000 0.000
0.000 5.139 0.061
0.000 2.383 4.554
Sb Cu Cl
2 1 1
direct
0.000 0.980 0.980
0.500 0.213 0.213
0.500 0.780 0.780
0.000 0.527 0.527
```

Space-group type: No. 38
Formation energy without anion corrections: -1.48 kcal/mol of atoms
E above lowest polymorph: 85 meV per atom

=====

No. 2
A relaxed structure of SmHo2Mg5. Source: Alexandria via LeMat-Bulk, functional GGA-PBE.

```
SmHo2Mg5
1.0
5.258 0.000 0.000
0.000 5.258 0.000
-2.629 -2.629 7.577
Sm Ho Mg
1 2 5
direct
0.000 0.000 0.000
0.743 0.743 0.485
0.257 0.257 0.515
0.500 0.500 0.000
0.878 0.378 0.757
0.378 0.878 0.757
0.122 0.622 0.243
0.622 0.122 0.243
```

Energy of formation from the pure elements: -78.7 meV per atom
Space-group type: No. 139

=====

| no. | total magnetization (μB/f.u.) |
| --- | --- |
| 1 | 0.00 |
| 2 | 0.00 |